The following is a DFT calculation (PBE+U) of crystalline ScNi2B2O6 at its relaxed geometry.

Lattice parameters (Å, degrees): 4.9624 4.9624 5.7031 90.00 90.00 120.00
Site moments in Bohr magnetons follow the coordinates.
Sites, in units of the cell vectors:
Sc (0.0000, 0.0000, 0.0000)  -0.03
Ni (0.3333, 0.6667, 0.3217)  1.42
Ni (0.6667, 0.3333, 0.6783)  1.42
B (0.3333, 0.6667, 0.7796)  0.00
B (0.6667, 0.3333, 0.2204)  0.00
O (0.3083, 0.3757, 0.7783)  0.03
O (0.0674, 0.6917, 0.7783)  0.03
O (0.6243, 0.9326, 0.7783)  0.03
O (0.6917, 0.6243, 0.2217)  0.03
O (0.9326, 0.3083, 0.2217)  0.03
O (0.3757, 0.0674, 0.2217)  0.03

Computed properties:
E, eV per atom: -6.9283
Crystal system: trigonal
Magnetic moment, μB per formula unit: 3.0